Entry from Alexandria via LeMat-Bulk: a relaxed structure of UTiPt (PBE).

## Properties
The value obtained for the density is 14.19 g cm⁻³. The value obtained for the formation energy is -0.78 eV per formula unit. Its size of the total moment is 0.00 μB/atom. The calculation puts the density of states at the Fermi level at 10.7 states/eV/cell.

```
data_UTiPt
_cell_length_a 3.652
_cell_length_b 3.652
_cell_length_c 8.440
_cell_angle_alpha 90.00
_cell_angle_beta 90.00
_cell_angle_gamma 90.00
_space_group_name_H-M_alt 'I 4 m m'
_space_group_IT_number 107
_space_group_name_Hall 'I 4 -2'
loop_
_atom_site_label
_atom_site_type_symbol
_atom_site_fract_x
_atom_site_fract_y
_atom_site_fract_z
_atom_site_occupancy
U1 U 0.000 0.000 0.000 1
Ti1 Ti 0.000 0.000 0.298 1
Pt1 Pt 0.000 0.000 0.658 1
```

Entry from Alexandria via LeMat-Bulk: a relaxed structure of CsMn2Cu (PBE).

## Properties
The value obtained for the density is 5.25 g cm⁻³. The value obtained for the formation energy is 5.51 eV per formula unit. Its size of the total moment is 2.21 μB/atom. The calculation puts the density of states at the Fermi level at 12.4 states/eV/cell.

```
data_CsMn2Cu
_cell_length_a 7.290
_cell_length_b 7.290
_cell_length_c 7.290
_cell_angle_alpha 90.00
_cell_angle_beta 90.00
_cell_angle_gamma 90.00
_space_group_name_H-M_alt 'F m -3 m'
_space_group_IT_number 225
_space_group_name_Hall '-F 4 2 3'
loop_
_atom_site_label
_atom_site_type_symbol
_atom_site_fract_x
_atom_site_fract_y
_atom_site_fract_z
_atom_site_occupancy
Cs1 Cs 0.000 0.000 0.000 1
Mn1 Mn 0.250 0.250 0.250 1
Cu1 Cu 0.000 0.000 0.500 1
```

Entry from Alexandria via LeMat-Bulk: a relaxed structure of LaUFe3 (PBE).

## Properties
The value obtained for the density is 9.95 g cm⁻³. The value obtained for the formation energy is 0.01 eV per formula unit. Its size of the total moment is 0.19 μB/atom. The calculation puts the density of states at the Fermi level at 19.2 states/eV/cell.

```
data_LaUFe3
_cell_length_a 8.232
_cell_length_b 5.523
_cell_length_c 8.645
_cell_angle_alpha 90.00
_cell_angle_beta 112.45
_cell_angle_gamma 90.00
_space_group_name_H-M_alt 'P 1 21/c 1'
_space_group_IT_number 14
_space_group_name_Hall '-P 2ybc'
loop_
_atom_site_label
_atom_site_type_symbol
_atom_site_fract_x
_atom_site_fract_y
_atom_site_fract_z
_atom_site_occupancy
La1 La 0.113 0.080 0.216 1
U1 U 0.380 0.710 0.069 1
Fe1 Fe 0.140 0.557 0.080 1
Fe2 Fe 0.360 0.519 0.373 1
Fe3 Fe 0.382 0.217 0.594 1
```

Entry from Alexandria via LeMat-Bulk: a relaxed structure of Tl2InPd2 (PBE).

## Properties
The value obtained for the density is 10.36 g cm⁻³. The value obtained for the formation energy is 0.26 eV per formula unit. Its size of the total moment is 0.00 μB/atom. The calculation puts the density of states at the Fermi level at 4.1 states/eV/cell.

```
data_Tl2InPd2
_cell_length_a 4.265
_cell_length_b 4.265
_cell_length_c 12.980
_cell_angle_alpha 90.00
_cell_angle_beta 90.00
_cell_angle_gamma 90.00
_space_group_name_H-M_alt 'I 4/m m m'
_space_group_IT_number 139
_space_group_name_Hall '-I 4 2'
loop_
_atom_site_label
_atom_site_type_symbol
_atom_site_fract_x
_atom_site_fract_y
_atom_site_fract_z
_atom_site_occupancy
Tl1 Tl 0.000 0.500 0.250 1
In1 In 0.000 0.000 0.000 1
Pd1 Pd 0.000 0.000 0.398 1
```

Entry from Alexandria via LeMat-Bulk: a relaxed structure of LiNdSn2 (PBE).

## Properties
The value obtained for the density is 6.15 g cm⁻³. The value obtained for the formation energy is -1.65 eV per formula unit. Its size of the total moment is 0.00 μB/atom. The calculation puts the density of states at the Fermi level at 12.2 states/eV/cell.

```
data_LiNdSn2
_cell_length_a 7.486
_cell_length_b 7.486
_cell_length_c 7.486
_cell_angle_alpha 90.00
_cell_angle_beta 90.00
_cell_angle_gamma 90.00
_space_group_name_H-M_alt 'F m -3 m'
_space_group_IT_number 225
_space_group_name_Hall '-F 4 2 3'
loop_
_atom_site_label
_atom_site_type_symbol
_atom_site_fract_x
_atom_site_fract_y
_atom_site_fract_z
_atom_site_occupancy
Li1 Li 0.000 0.000 0.000 1
Nd1 Nd 0.000 0.000 0.500 1
Sn1 Sn 0.250 0.250 0.250 1
```

Entry from Alexandria via LeMat-Bulk: a relaxed structure of PrDyPt2 (PBE).

## Properties
The value obtained for the density is 11.41 g cm⁻³. The value obtained for the formation energy is -4.34 eV per formula unit. Its size of the total moment is 0.00 μB/atom. The calculation puts the density of states at the Fermi level at 6.6 states/eV/cell.

```
data_PrDyPt2
_cell_length_a 4.1525
_cell_length_b 4.1525
_cell_length_c 20.2733
_cell_angle_alpha 90.00
_cell_angle_beta 90.00
_cell_angle_gamma 120.00
_space_group_name_H-M_alt 'R -3 m'
_space_group_IT_number 166
_space_group_name_Hall '-R 3 2"'
loop_
_atom_site_label
_atom_site_type_symbol
_atom_site_fract_x
_atom_site_fract_y
_atom_site_fract_z
_atom_site_occupancy
Pr1 Pr 0.0000 0.0000 0.0000 1
Dy1 Dy 0.0000 0.0000 0.5000 1
Pt1 Pt 0.0000 0.0000 0.2450 1
```

Entry from Alexandria via LeMat-Bulk: a relaxed structure of Li2Mn2Br7 (PBE).

## Properties
Its energy relative to the elements, uncorrected is -0.971 eV/atom. The value obtained for the density is 3.17 g cm⁻³. Its size of the total moment is 0.82 μB/atom.

```
data_Li2Mn2Br7
_cell_length_a 7.884
_cell_length_b 12.680
_cell_length_c 7.155
_cell_angle_alpha 90.00
_cell_angle_beta 90.33
_cell_angle_gamma 90.00
_space_group_name_H-M_alt 'C 1 2/m 1'
_space_group_IT_number 12
_space_group_name_Hall '-C 2y'
loop_
_atom_site_label
_atom_site_type_symbol
_atom_site_fract_x
_atom_site_fract_y
_atom_site_fract_z
_atom_site_occupancy
Li1 Li 0.000 0.247 0.000 1
Mn1 Mn 0.203 0.000 0.371 1
Br1 Br 0.000 0.500 0.500 1
Br2 Br 0.109 0.000 0.712 1
Br3 Br 0.249 0.329 0.798 1
```

Entry from Alexandria via LeMat-Bulk: a relaxed structure of MnP2S6 (PBE).

## Properties
Its energy relative to the elements, uncorrected is -0.220 eV/atom. The value obtained for the density is 2.45 g cm⁻³. Its size of the total moment is 0.56 μB/atom.

```
data_MnP2S6
_cell_length_a 12.788
_cell_length_b 12.708
_cell_length_c 5.763
_cell_angle_alpha 90.00
_cell_angle_beta 116.53
_cell_angle_gamma 90.00
_space_group_name_H-M_alt 'C 1 2/c 1'
_space_group_IT_number 15
_space_group_name_Hall '-C 2yc'
loop_
_atom_site_label
_atom_site_type_symbol
_atom_site_fract_x
_atom_site_fract_y
_atom_site_fract_z
_atom_site_occupancy
Mn1 Mn 0.000 0.217 0.250 1
P1 P 0.221 0.417 0.644 1
S1 S 0.107 0.086 0.130 1
S2 S 0.133 0.288 0.661 1
S3 S 0.153 0.441 0.236 1
```

Entry from Alexandria via LeMat-Bulk: a relaxed structure of TcTePS2 (PBE).

## Properties
Its energy relative to the elements, uncorrected is 1.393 eV/atom. The value obtained for the density is 4.21 g cm⁻³. Its size of the total moment is 0.89 μB/atom. The calculation puts the density of states at the Fermi level at 2.8 states/eV/cell.

```
data_TcTePS2
_cell_length_a 4.983
_cell_length_b 4.983
_cell_length_c 5.092
_cell_angle_alpha 90.00
_cell_angle_beta 90.00
_cell_angle_gamma 90.00
_space_group_name_H-M_alt 'P 4/m m m'
_space_group_IT_number 123
_space_group_name_Hall '-P 4 2'
loop_
_atom_site_label
_atom_site_type_symbol
_atom_site_fract_x
_atom_site_fract_y
_atom_site_fract_z
_atom_site_occupancy
Tc1 Tc 0.000 0.000 0.000 1
Te1 Te 0.500 0.500 0.500 1
P1 P 0.500 0.500 0.000 1
S1 S 0.000 0.500 0.500 1
```

Entry from Alexandria via LeMat-Bulk: a relaxed structure of RbPuCoS4 (PBE).

## Properties
Its energy relative to the elements, uncorrected is -0.972 eV/atom. The value obtained for the density is 5.12 g cm⁻³. Its size of the total moment is 0.18 μB/atom. The calculation puts the density of states at the Fermi level at 18.1 states/eV/cell.

```
data_RbPuCoS4
_cell_length_a 6.639
_cell_length_b 5.686
_cell_length_c 9.210
_cell_angle_alpha 90.00
_cell_angle_beta 105.50
_cell_angle_gamma 90.00
_space_group_name_H-M_alt 'P 1 21/m 1'
_space_group_IT_number 11
_space_group_name_Hall '-P 2yb'
loop_
_atom_site_label
_atom_site_type_symbol
_atom_site_fract_x
_atom_site_fract_y
_atom_site_fract_z
_atom_site_occupancy
Rb1 Rb 0.246 0.250 0.452 1
Pu1 Pu 0.242 0.250 0.951 1
Co1 Co 0.265 0.750 0.157 1
S1 S 0.056 0.750 0.306 1
S2 S 0.082 0.750 0.922 1
S3 S 0.489 0.514 0.801 1
```

Entry from Alexandria via LeMat-Bulk: a relaxed structure of Bi2Pd2S (PBE).

## Properties
Its energy relative to the elements, uncorrected is -0.108 eV/atom. The value obtained for the density is 10.24 g cm⁻³. Its size of the total moment is 0.00 μB/atom. The calculation puts the density of states at the Fermi level at 4.0 states/eV/cell.

```
data_Bi2Pd2S
_cell_length_a 7.357
_cell_length_b 7.357
_cell_length_c 3.972
_cell_angle_alpha 90.00
_cell_angle_beta 90.00
_cell_angle_gamma 90.00
_space_group_name_H-M_alt 'P 4/m b m'
_space_group_IT_number 127
_space_group_name_Hall '-P 4 2ab'
loop_
_atom_site_label
_atom_site_type_symbol
_atom_site_fract_x
_atom_site_fract_y
_atom_site_fract_z
_atom_site_occupancy
Bi1 Bi 0.161 0.339 0.000 1
Pd1 Pd 0.136 0.636 0.500 1
S1 S 0.000 0.000 0.500 1
```

Entry from Alexandria via LeMat-Bulk: a relaxed structure of CaMn2Os (PBE).

## Properties
The value obtained for the density is 8.58 g cm⁻³. The value obtained for the formation energy is 2.28 eV per formula unit. Its size of the total moment is 0.00 μB/atom. The calculation puts the density of states at the Fermi level at 4.5 states/eV/cell.

```
data_CaMn2Os
_cell_length_a 2.717
_cell_length_b 4.135
_cell_length_c 6.016
_cell_angle_alpha 90.00
_cell_angle_beta 102.94
_cell_angle_gamma 90.00
_space_group_name_H-M_alt 'P 1 2/m 1'
_space_group_IT_number 10
_space_group_name_Hall '-P 2y'
loop_
_atom_site_label
_atom_site_type_symbol
_atom_site_fract_x
_atom_site_fract_y
_atom_site_fract_z
_atom_site_occupancy
Ca1 Ca 0.000 0.000 0.000 1
Mn1 Mn 0.147 0.500 0.663 1
Os1 Os 0.500 0.000 0.500 1
```